Li2FeF4 after structural relaxation. Source: the Alexandria database, functional PBE with a Hubbard U.

Geometry as CIF:
```
data_Li2FeF4
_chemical_formula_sum 'Li4 Fe2 F8'
_symmetry_space_group_name_H-M 'I -4'
_symmetry_Int_Tables_number 82
_cell_length_a 4.910
_cell_length_b 4.910
_cell_length_c 8.010
_cell_angle_alpha 90.00
_cell_angle_beta 90.00
_cell_angle_gamma 90.00
loop_
_symmetry_equiv_pos_as_xyz
'x,y,z'
'y,-x,-z'
'-x,-y,z'
'-y,x,-z'
'x+1/2,y+1/2,z+1/2'
'y+1/2,-x+1/2,-z+1/2'
'-x+1/2,-y+1/2,z+1/2'
'-y+1/2,x+1/2,-z+1/2'
loop_
_atom_site_label
_atom_site_fract_x
_atom_site_fract_y
_atom_site_fract_z
Li1 0.000 0.000 0.000
Li2 0.000 0.500 0.250
Fe1 0.000 0.000 0.500
F1 0.208 0.281 0.108
```

## Properties
DFT total energy (eV/f.u.): -35.54
Energy above the lowest structure with this stoichiometry (meV per atom): 75